Cr3SnGe (GGA-PBE, optimized geometry); ΔE to the lowest computed polymorph = 611 meV per atom; formation energy from the elements = 1.378 eV per atom
1.0
5.028 0.000 0.000
0.000 5.028 0.000
0.000 0.000 5.028
Cr Sn Ge
3 1 1
Direct
0.000 0.000 0.500
0.000 0.500 0.000
0.500 0.000 0.000
0.000 0.000 0.000
0.500 0.500 0.500

=====

CrSn2Ge (GGA-PBE, optimized geometry); formation energy from the elements = 0.398 eV per atom
1.0
7.781 0.000 0.000
0.000 7.781 0.000
0.000 0.000 6.088
Cr Sn Ge
4 8 4
Direct
0.000 0.000 0.000
0.000 0.500 0.250
0.500 0.000 0.750
0.500 0.500 0.500
0.237 0.250 0.625
0.250 0.737 0.875
0.250 0.763 0.375
0.263 0.250 0.125
0.737 0.750 0.125
0.750 0.237 0.375
0.750 0.263 0.875
0.763 0.750 0.625
0.000 0.000 0.500
0.000 0.500 0.750
0.500 0.000 0.250
0.500 0.500 0.000

=====

Cr3SnGe (GGA-PBE, optimized geometry); ΔE to the lowest computed polymorph = 0 meV per atom; formation energy from the elements = 0.767 eV per atom
1.0
4.671 0.000 0.000
0.000 4.671 0.000
0.000 0.000 4.671
Cr Sn Ge
3 1 1
Direct
0.000 0.000 0.500
0.000 0.500 0.000
0.500 0.000 0.000
0.500 0.500 0.500
0.000 0.000 0.000

=====

Cr2SnGe (GGA-PBE, optimized geometry); formation energy from the elements = 0.601 eV per atom
1.0
3.954 0.000 0.000
0.000 3.954 0.000
0.000 0.000 17.746
Cr Sn Ge
8 4 4
Direct
0.149 0.250 0.125
0.250 0.649 0.375
0.250 0.851 0.875
0.351 0.250 0.625
0.649 0.750 0.625
0.750 0.149 0.875
0.750 0.351 0.375
0.851 0.750 0.125
0.000 0.000 0.500
0.000 0.500 0.750
0.500 0.000 0.250
0.500 0.500 0.000
0.000 0.000 0.000
0.000 0.500 0.250
0.500 0.000 0.750
0.500 0.500 0.500

=====

CrTc2SnGe (GGA-PBE, optimized geometry); formation energy from the elements = 2.376 eV per atom
1.0
4.904 0.000 0.000
0.000 4.904 0.000
0.000 0.000 4.968
Cr Tc Sn Ge
1 2 1 1
Direct
0.000 0.000 0.000
0.000 0.500 0.500
0.500 0.000 0.500
0.500 0.500 0.500
0.500 0.500 0.000

=====

CrSnGe2Te (GGA-PBE, optimized geometry); ΔE_f (raw) = 1.18 eV per atom
1.0
5.485 0.000 0.000
0.000 5.485 0.000
0.000 0.000 4.782
Cr Sn Ge Te
1 1 2 1
Direct
0.000 0.000 0.000
0.500 0.500 0.000
0.000 0.500 0.500
0.500 0.000 0.500
0.000 0.000 0.500

=====

V2CrSnGe (GGA-PBE, optimized geometry); formation energy from the elements = 2.204 eV per atom
1.0
4.845 0.000 0.000
0.000 4.845 0.000
0.000 0.000 5.028
V Cr Sn Ge
2 1 1 1
Direct
0.000 0.500 0.000
0.500 0.000 0.000
0.000 0.000 0.500
0.500 0.500 0.000
0.500 0.500 0.500

=====

Sr2CrGe (GGA-PBE, optimized geometry); formation energy from the elements = 0.936 eV per atom
1.0
8.516 0.000 0.000
0.000 8.516 0.000
0.000 0.000 5.935
Sr Cr Ge
8 4 4
Direct
0.245 0.250 0.125
0.250 0.745 0.375
0.250 0.755 0.875
0.255 0.250 0.625
0.745 0.750 0.625
0.750 0.245 0.875
0.750 0.255 0.375
0.755 0.750 0.125
0.000 0.000 0.000
0.000 0.500 0.250
0.500 0.000 0.750
0.500 0.500 0.500
0.000 0.000 0.500
0.000 0.500 0.750
0.500 0.000 0.250
0.500 0.500 0.000

=====

SrCr3Ge (GGA-PBE, optimized geometry); ΔE to the lowest computed polymorph = 0 meV per atom; formation energy from the elements = 0.767 eV per atom
1.0
4.956 0.000 0.000
0.000 4.956 0.000
0.000 0.000 4.956
Sr Cr Ge
1 3 1
Direct
0.000 0.000 0.000
0.000 0.500 0.500
0.500 0.000 0.500
0.500 0.500 0.000
0.500 0.500 0.500

=====

SrCr2Ge2 (GGA-PBE, optimized geometry); formation energy from the elements = 0.182 eV per atom
1.0
7.806 0.000 0.000
0.000 7.806 0.000
0.000 0.000 2.938
Sr Cr Ge
2 4 4
Direct
0.000 0.000 0.000
0.500 0.500 0.000
0.091 0.409 0.000
0.409 0.909 0.000
0.591 0.091 0.000
0.909 0.591 0.000
0.175 0.675 0.500
0.325 0.175 0.500
0.675 0.825 0.500
0.825 0.325 0.500

=====

SrCrGe3 (GGA-PBE, optimized geometry); formation energy from the elements = 1.500 eV per atom
1.0
5.534 0.000 0.000
0.000 5.534 0.000
0.000 0.000 5.534
Sr Cr Ge
1 1 3
Direct
0.000 0.000 0.000
0.500 0.500 0.500
0.000 0.000 0.500
0.000 0.500 0.000
0.500 0.000 0.000

=====

Sr2CrGe2 (GGA-PBE, optimized geometry); formation energy from the elements = 0.048 eV per atom
1.0
7.059 0.000 0.000
0.000 7.059 0.000
0.000 0.000 4.929
Sr Cr Ge
4 2 4
Direct
0.175 0.325 0.000
0.325 0.825 0.000
0.675 0.175 0.000
0.825 0.675 0.000
0.000 0.000 0.500
0.500 0.500 0.500
0.134 0.634 0.500
0.366 0.134 0.500
0.634 0.866 0.500
0.866 0.366 0.500

=====

SrCr3Ge (GGA-PBE, optimized geometry); ΔE to the lowest computed polymorph = 1550 meV per atom; formation energy from the elements = 2.317 eV per atom
1.0
5.360 0.000 0.000
0.000 5.360 0.000
0.000 0.000 5.360
Sr Cr Ge
1 3 1
Direct
0.000 0.000 0.000
0.000 0.000 0.500
0.000 0.500 0.000
0.500 0.000 0.000
0.500 0.500 0.500

=====

SrCrGe3 (GGA-PBE, optimized geometry); formation energy from the elements = -0.136 eV per atom
1.0
4.738 0.000 0.000
0.000 4.738 0.000
0.000 0.000 4.738
Sr Cr Ge
1 1 3
Direct
0.000 0.000 0.000
0.500 0.500 0.500
0.000 0.500 0.500
0.500 0.000 0.500
0.500 0.500 0.000

=====

SrZnCrGe2 (GGA-PBE, optimized geometry); formation energy from the elements = -0.176 eV per atom
1.0
4.670 0.000 0.000
0.000 4.670 0.000
0.000 0.000 4.866
Sr Zn Cr Ge
1 1 1 2
Direct
0.000 0.000 0.000
0.500 0.500 0.000
0.500 0.500 0.500
0.000 0.500 0.500
0.500 0.000 0.500

=====

TaCr2Ge2 (GGA-PBE, optimized geometry); ΔE to the lowest computed polymorph = 0 meV per atom; formation energy from the elements = 0.040 eV per atom
1.0
7.015 0.000 0.000
0.000 7.015 0.000
0.000 0.000 2.901
Ta Cr Ge
2 4 4
Direct
0.000 0.000 0.000
0.500 0.500 0.000
0.144 0.356 0.500
0.356 0.856 0.500
0.644 0.144 0.500
0.856 0.644 0.500
0.148 0.648 0.000
0.352 0.148 0.000
0.648 0.852 0.000
0.852 0.352 0.000

=====

Ta3CrGe (GGA-PBE, optimized geometry); ΔE to the lowest computed polymorph = 0 meV per atom; formation energy from the elements = 0.942 eV per atom
1.0
4.603 0.000 0.000
0.000 4.603 0.000
0.000 0.000 4.603
Ta Cr Ge
3 1 1
Direct
0.000 0.000 0.500
0.000 0.500 0.000
0.500 0.000 0.000
0.000 0.000 0.000
0.500 0.500 0.500

=====

TaCrGe2 (GGA-PBE, optimized geometry); ΔE to the lowest computed polymorph = 64 meV per atom; formation energy from the elements = 0.212 eV per atom
1.0
6.238 0.000 0.000
0.000 6.238 0.000
0.000 0.000 6.238
Ta Cr Ge
4 4 8
Direct
0.000 0.000 0.000
0.000 0.500 0.500
0.500 0.000 0.500
0.500 0.500 0.000
0.000 0.000 0.500
0.000 0.500 0.000
0.500 0.000 0.000
0.500 0.500 0.500
0.250 0.250 0.250
0.250 0.250 0.750
0.250 0.750 0.250
0.250 0.750 0.750
0.750 0.250 0.250
0.750 0.250 0.750
0.750 0.750 0.250
0.750 0.750 0.750

=====

TaCrGe (GGA-PBE, optimized geometry); formation energy from the elements = -0.182 eV per atom
1.0
3.805 0.000 0.000
0.000 9.264 0.000
0.000 0.000 5.086
Ta Cr Ge
4 4 4
Direct
0.000 0.200 0.250
0.000 0.800 0.750
0.500 0.300 0.750
0.500 0.700 0.250
0.000 0.500 0.000
0.000 0.500 0.500
0.500 0.000 0.000
0.500 0.000 0.500
0.000 0.100 0.750
0.000 0.900 0.250
0.500 0.400 0.250
0.500 0.600 0.750

=====

TaCrGe (GGA-PBE, optimized geometry); formation energy from the elements = 0.058 eV per atom
1.0
4.334 0.000 0.000
-2.167 3.753 0.000
0.000 0.000 2.791
Ta Cr Ge
1 1 1
Direct
0.000 0.000 0.000
0.667 0.333 0.374
0.333 0.667 0.452

=====

Listing total DFT energy (no corrections) for the structures above in their given order: -6.12 -5.16 -6.73 -6.37 -5.42 -4.02 -5.09 -3.47 -6.27 -5.85 -3.53 -4.40 -4.72 -5.17 -4.54 -8.03 -9.02 -7.47 -8.88 -8.64 eV/atom.